1.
Y2PbSeI (GGA-PBE, optimized geometry); SG = P4/mmm (123); spin magnetization = 0.00 μB/f.u.; E_form (uncorrected) = 0.372 eV per atom; D(E_F) = 6.67 states/eV/f.u.
1.0
5.6584 0.0000 0.0000
0.0000 5.6584 0.0000
0.0000 0.0000 5.7860
Y Pb Se I
2 1 1 1
direct
0.0000 0.5000 0.0000
0.5000 0.0000 0.0000
0.0000 0.0000 0.5000
0.5000 0.5000 0.5000
0.0000 0.0000 0.0000

***

2.
GaSbOF2 (GGA-PBE, optimized geometry); excess energy over the best structure of this formula in the dataset = 0.0 meV per atom; SG = P4/mmm (123); spin magnetization = 0.00 μB/f.u.; E_form (uncorrected) = -1.422 eV per atom; D(E_F) = 0.12 states/eV/f.u.
1.0
4.5797 0.0000 0.0000
0.0000 4.5797 0.0000
0.0000 0.0000 4.2654
Ga Sb O F
1 1 1 2
direct
0.0000 0.0000 0.0000
0.5000 0.5000 0.5000
0.5000 0.5000 0.0000
0.0000 0.5000 0.5000
0.5000 0.0000 0.5000

***

3.
ZnReSe2 (GGA-PBE, optimized geometry); excess energy over the best structure of this formula in the dataset = 213.2 meV per atom; SG = Imm2 (44); spin magnetization = 0.00 μB/f.u.; E_form (uncorrected) = 0.290 eV per atom; D(E_F) = 2.36 states/eV/f.u.
1.0
-1.5141 2.0563 6.0892
1.5141 -2.0563 6.0892
1.5141 2.0563 -6.0892
Zn Re Se
1 1 2
direct
0.0000 0.0000 0.0000
0.7906 0.2906 0.5000
0.3509 0.8509 0.5000
0.6276 0.6276 0.0000